[1]
DFT (PBE) results for a relaxed structure of LiFeTc2.

The structure in POSCAR format:
```
LiFeTc2
1.0
3.5927 0.2450 2.0249
0.1307 -0.7074 4.0682
1.7955 -3.4292 1.4438
Tc Li Fe
2 1 1
direct
0.2500 0.2500 0.2500
0.7500 0.7500 0.7500
0.0000 0.0000 0.0000
0.5000 0.5000 0.5000
```

Properties
As for the space-group type: Fm-3m (225). The total energy is -7.3838 eV per atom. The total magnetization is 0.0 Bohr magnetons per cell. The value obtained for the formation energy is 0.39 eV per atom. The distance to the lowest polymorph of the same formula is 191 meV/atom.

---

[2]
DFT (PBE) results for a relaxed structure of LiFeTc.

The structure in POSCAR format:
```
LiFeTc
1.0
6.9488 0.0372 -0.0250
6.2885 2.5292 0.0709
0.6603 -0.8546 2.3428
Li Fe Tc
1 1 1
direct
0.3360 0.3360 0.6640
0.0048 0.0048 0.9952
0.6593 0.6593 0.3407
```

Properties
As for the space-group type: Fmm2 (42). The total energy is -6.6579 eV per atom. The total magnetization is 2.4 Bohr magnetons per cell. The value obtained for the formation energy is 0.26 eV per atom. The distance to the lowest polymorph of the same formula is 38 meV/atom.

---

[3]
DFT (PBE) results for a relaxed structure of LiFe2Tc.

The structure in POSCAR format:
```
LiFe2Tc
1.0
2.5441 0.0371 0.0000
-0.8888 2.3841 0.0000
0.0000 0.0000 8.5767
Fe Li Tc
2 1 1
direct
0.0000 0.0000 0.0092
0.5000 0.5000 0.2330
0.0000 0.0000 0.4928
0.5000 0.5000 0.7649
```

Properties
As for the space-group type: Cmm2 (35). The total energy is -7.1183 eV per atom. The total magnetization is 4.5 Bohr magnetons per cell. The value obtained for the formation energy is 0.18 eV per atom.

---

[4]
DFT (PBE) results for a relaxed structure of Li3FeTc.

The structure in POSCAR format:
```
Li3FeTc
1.0
4.2137 0.0000 0.0000
0.0000 4.2137 0.0000
0.0000 0.0000 4.2137
Li Fe Tc
3 1 1
direct
0.0000 0.0000 0.5000
0.0000 0.5000 0.0000
0.5000 0.0000 0.0000
0.0000 0.0000 0.0000
0.5000 0.5000 0.5000
```

Properties
As for the space-group type: Pm-3m (221). The total energy is -3.5808 eV per atom. The total magnetization is 4.9 Bohr magnetons per cell. The value obtained for the formation energy is 1.33 eV per atom. The distance to the lowest polymorph of the same formula is 0 meV/atom.

---

[5]
DFT (PBE) results for a relaxed structure of LiFeTc2.

The structure in POSCAR format:
```
LiFeTc2
1.0
2.5933 0.0000 0.0000
0.0000 3.9819 0.0000
0.0000 0.0000 5.1478
Tc Fe Li
2 1 1
direct
0.5000 0.5000 0.2474
0.0000 0.0000 0.9997
0.0000 0.0000 0.5130
0.5000 0.5000 0.7399
```

Properties
As for the space-group type: Pmm2 (25). The total energy is -7.5031 eV per atom. The total magnetization is 1.7 Bohr magnetons per cell. The value obtained for the formation energy is 0.27 eV per atom. The distance to the lowest polymorph of the same formula is 72 meV/atom.

---

[6]
DFT (PBE) results for a relaxed structure of LiFeTc.

The structure in POSCAR format:
```
LiFeTc
1.0
4.9243 -0.0185 0.0000
3.2629 3.6882 0.0000
-4.0936 -1.8349 2.0310
Li Fe Tc
1 1 1
direct
0.3412 0.3412 0.0000
0.0070 0.0070 0.0000
0.6518 0.6518 0.0000
```

Properties
As for the space-group type: I4mm (107). The total energy is -6.6395 eV per atom. The total magnetization is 0.0 Bohr magnetons per cell. The value obtained for the formation energy is 0.27 eV per atom. The distance to the lowest polymorph of the same formula is 56 meV/atom.